1.
DFT (PBE) results for KTl3F after structural relaxation.

a b c (Å): 5.443 5.443 5.443
angles (deg): 90.00 90.00 90.00
Positions (direct):
K1 0.000 0.000 0.000
Tl1 0.000 0.500 0.500
Tl2 0.500 0.000 0.500
Tl3 0.500 0.500 0.000
F1 0.500 0.500 0.500

## Properties
calculated total energy	-2.644	eV per atom
volume	161.3	Å³ per cell
ΔE_f (raw)	-0.630	eV per atom

2.
DFT (PBE) results for Li3VW after structural relaxation.

a b c (Å): 4.252 4.252 4.252
angles (deg): 90.00 90.00 90.00
Positions (direct):
Li1 0.000 0.000 0.500
Li2 0.000 0.500 0.000
Li3 0.500 0.000 0.000
V1 0.000 0.000 0.000
W1 0.500 0.500 0.500

## Properties
calculated total energy	-3.886	eV per atom
volume	76.9	Å³ per cell
formation energy	1.676	eV/atom

3.
DFT (PBE) results for Ba2LiC after structural relaxation.

a b c (Å): 7.436 7.436 7.436
angles (deg): 110.91 110.91 106.63
Positions (direct):
Ba1 0.021 0.625 0.896
Ba2 0.375 0.271 0.396
Ba3 0.729 0.125 0.104
Ba4 0.875 0.979 0.604
Li1 0.250 0.750 0.500
Li2 0.500 0.500 0.000
C1 0.000 0.000 0.000
C2 0.750 0.250 0.500

## Properties
calculated total energy	-3.023	eV per atom
volume	316.0	Å³ per cell
formation energy	0.722	eV/atom

4.
DFT (PBE) results for Pu2In2Pd3 after structural relaxation.

a b c (Å): 4.788 5.040 7.292
angles (deg): 110.14 109.00 90.03
Positions (direct):
Pu1 0.121 0.119 0.239
Pu2 0.879 0.881 0.761
In1 0.377 0.376 0.754
In2 0.623 0.624 0.246
Pd1 0.000 0.500 0.000
Pd2 0.247 0.747 0.496
Pd3 0.753 0.253 0.504

## Properties
calculated total energy	-7.468	eV per atom
volume	154.9	Å³ per cell
formation energy	-0.365	eV/atom